(1)
A plane-wave DFT calculation with PBE-GGA was carried out for a geometry-optimized KCrBi2 structure.

a b c (Å): 5.4259 5.4259 5.4259
angles (deg): 60.00 60.00 60.00
With the nearest neighbours (Å) after each atom.
Fractional positions:
K (0.0000, 0.0000, 0.0000)  8 Bi 3.32
Cr (0.5000, 0.5000, 0.5000)  8 Bi 3.32
Bi (0.2500, 0.2500, 0.2500)  4 Cr 3.32, 4 K 3.32
Bi (0.7500, 0.7500, 0.7500)  4 Cr 3.32, 4 K 3.32

Properties
energy relative to the lowest polymorph listed for this composition	28	meV per atom


(2)
A plane-wave DFT calculation with PBE-GGA was carried out for a geometry-optimized KCrBi structure.

a b c (Å): 3.6609 3.6609 13.2834
angles (deg): 90.00 90.00 90.00
With the nearest neighbours (Å) after each atom.
Fractional positions:
K (0.2500, 0.2500, 0.1508)  4 Bi 3.65, 4 K 3.66
K (0.7500, 0.7500, 0.8492)  4 Bi 3.65, 4 K 3.66
Cr (0.2500, 0.7500, 0.5000)  4 Cr 2.59, 4 Bi 2.76
Cr (0.7500, 0.2500, 0.5000)  4 Cr 2.59, 4 Bi 2.76
Bi (0.2500, 0.2500, 0.6554)  4 Cr 2.76
Bi (0.7500, 0.7500, 0.3446)  4 Cr 2.76


| no. | raw total energy (eV per atom) | Fermi-level density of states (states/eV/cell) | E_form (eV per atom) |
| --- | --- | --- | --- |
| 1 | -4.341 | 1.97 | 0.28 |
| 2 | -4.614 | 2.69 | 0.25 |